1.
A plane-wave DFT calculation with PBE was carried out for an optimized crystal structure of KSe2.

a = 5.0266 Å, b = 5.4685 Å, c = 8.3411 Å
α = 92.97°, β = 98.46°, γ = 104.71°
Element x y z (fractional)
K 0.3587 0.5453 0.7661
K 0.4100 0.7989 0.3167
Se 0.0357 0.1905 0.3888
Se 0.9334 0.9625 0.6523
Se 0.1963 0.2372 0.1067
Se 0.7929 0.1371 0.8928

Calculated values
As for the formation energy from raw total energies: -14.7 kcal/mol of atoms. The calculation puts the offset from the most stable computed form at 29.8 meV per atom.

---

2.
A plane-wave DFT calculation with PBE was carried out for an optimized crystal structure of K3Se.

a = 6.4295 Å, b = 6.4295 Å, c = 6.4295 Å
α = 113.53°, β = 113.53°, γ = 113.53°
Element x y z (fractional)
K 0.0000 0.0000 0.0000
K 0.5000 0.0000 0.5000
K 0.5000 0.5000 0.0000
Se 0.0000 0.5000 0.5000

Calculated values
As for the formation energy from raw total energies: -9.4 kcal/mol of atoms. The calculation puts the offset from the most stable computed form at 316.8 meV per atom.

---

3.
A plane-wave DFT calculation with PBE was carried out for an optimized crystal structure of K3Se.

a = 10.3223 Å, b = 10.3223 Å, c = 10.3223 Å
α = 28.66°, β = 28.66°, γ = 28.66°
Element x y z (fractional)
K 0.7096 0.7096 0.7096
K 0.5000 0.5000 0.5000
K 0.2904 0.2904 0.2904
Se 0.0000 0.0000 0.0000

Calculated values
As for the formation energy from raw total energies: -15.6 kcal/mol of atoms. The calculation puts the offset from the most stable computed form at 46.2 meV per atom.

---

4.
A plane-wave DFT calculation with PBE was carried out for an optimized crystal structure of KSe4.

a = 8.0534 Å, b = 8.0534 Å, c = 8.0534 Å
α = 149.47°, β = 149.47°, γ = 43.72°
Element x y z (fractional)
K 0.0000 0.0000 0.0000
Se 0.7500 0.2500 0.5000
Se 0.2500 0.7500 0.5000
Se 0.5781 0.5781 0.0000
Se 0.4219 0.4219 0.0000

Calculated values
As for the formation energy from raw total energies: -1.5 kcal/mol of atoms. The calculation puts the offset from the most stable computed form at 139.6 meV per atom.

---

5.
A plane-wave DFT calculation with PBE was carried out for an optimized crystal structure of KSe2.

a = 9.9698 Å, b = 9.9698 Å, c = 3.4019 Å
α = 90.00°, β = 90.00°, γ = 120.00°
Element x y z (fractional)
K 0.3333 0.6667 0.0000
K 0.6667 0.3333 0.0000
K 0.0000 0.0000 0.5000
Se 0.2995 0.0000 0.0000
Se 0.0000 0.2995 0.0000
Se 0.7005 0.7005 0.0000
Se 0.4961 0.0000 0.5000
Se 0.0000 0.4961 0.5000
Se 0.5039 0.5039 0.5000

Calculated values
As for the formation energy from raw total energies: -7.7 kcal/mol of atoms. The calculation puts the offset from the most stable computed form at 333.2 meV per atom.

---

6.
A plane-wave DFT calculation with PBE was carried out for an optimized crystal structure of KSe2.

a = 6.3502 Å, b = 4.6671 Å, c = 7.2909 Å
α = 90.00°, β = 90.00°, γ = 90.00°
Element x y z (fractional)
K 0.0000 0.0000 0.0000
K 0.5000 0.5000 0.5000
Se 0.0000 0.2478 0.5645
Se 0.0000 0.7522 0.4355
Se 0.5000 0.7478 0.9355
Se 0.5000 0.2522 0.0645

Calculated values
As for the formation energy from raw total energies: -14.3 kcal/mol of atoms. The calculation puts the offset from the most stable computed form at 49.3 meV per atom.

---

7.
A plane-wave DFT calculation with PBE was carried out for an optimized crystal structure of KSe2.

a = 5.4203 Å, b = 5.4203 Å, c = 6.2941 Å
α = 90.00°, β = 90.00°, γ = 120.00°
Element x y z (fractional)
K 0.3333 0.6667 0.2500
K 0.6667 0.3333 0.7500
Se 0.0000 0.0000 0.0000
Se 0.0000 0.0000 0.5000
Se 0.3333 0.6667 0.7500
Se 0.6667 0.3333 0.2500

Calculated values
As for the formation energy from raw total energies: -1.6 kcal/mol of atoms. The calculation puts the offset from the most stable computed form at 597.5 meV per atom.

---

8.
A plane-wave DFT calculation with PBE was carried out for an optimized crystal structure of K4Si2Se.

a = 6.1821 Å, b = 6.1821 Å, c = 10.0875 Å
α = 72.16°, β = 72.16°, γ = 90.00°
Element x y z (fractional)
K 0.8277 0.8277 0.3447
K 0.1723 0.1723 0.6553
K 0.0000 0.5000 0.0000
K 0.5000 0.0000 0.0000
Si 0.6382 0.6382 0.7235
Si 0.3618 0.3618 0.2765
Se 0.0000 0.0000 0.0000

Calculated values
As for the formation energy from raw total energies: 5.5 kcal/mol of atoms.

---

9.
A plane-wave DFT calculation with PBE was carried out for an optimized crystal structure of K2SiSe.

a = 5.6333 Å, b = 5.6333 Å, c = 5.6333 Å
α = 60.00°, β = 60.00°, γ = 60.00°
Element x y z (fractional)
K 0.2500 0.2500 0.2500
K 0.7500 0.7500 0.7500
Si 0.0000 0.0000 0.0000
Se 0.5000 0.5000 0.5000

Calculated values
As for the formation energy from raw total energies: 1.3 kcal/mol of atoms. The calculation puts the offset from the most stable computed form at 391.2 meV per atom.

---

10.
A plane-wave DFT calculation with PBE was carried out for an optimized crystal structure of KSiSe2.

a = 5.4804 Å, b = 2.9171 Å, c = 6.2933 Å
α = 89.90°, β = 90.00°, γ = 90.00°
Element x y z (fractional)
K 0.5000 0.7503 0.8573
Se 0.0000 0.2500 0.9449
Se 0.5000 0.2498 0.3777
Si 0.0000 0.2499 0.3200

Calculated values
As for the formation energy from raw total energies: -7.6 kcal/mol of atoms.

---

11.
A plane-wave DFT calculation with PBE was carried out for an optimized crystal structure of KSiSe2.

a = 5.6141 Å, b = 5.6141 Å, c = 2.9430 Å
α = 90.00°, β = 90.00°, γ = 90.05°
Element x y z (fractional)
K 0.0000 0.5000 0.5000
Se 0.0000 0.0000 0.0000
Se 0.5000 0.5000 0.0000
Si 0.5000 0.0000 0.5000

Calculated values
As for the formation energy from raw total energies: -1.3 kcal/mol of atoms.

---

12.
A plane-wave DFT calculation with PBE was carried out for an optimized crystal structure of KSi2Se.

a = 6.0684 Å, b = 6.0684 Å, c = 6.0684 Å
α = 148.04°, β = 115.07°, γ = 74.21°
Element x y z (fractional)
K 0.5003 0.5003 0.0000
Se 0.1792 0.6792 0.5000
Si 0.0001 0.0001 0.0000
Si 0.8204 0.3204 0.5000

Calculated values
As for the formation energy from raw total energies: 3.8 kcal/mol of atoms.

---

13.
A plane-wave DFT calculation with PBE was carried out for an optimized crystal structure of KSiSe2.

a = 5.1421 Å, b = 5.1421 Å, c = 5.1421 Å
α = 60.00°, β = 60.00°, γ = 60.00°
Element x y z (fractional)
K 0.5000 0.5000 0.5000
Se 0.0000 0.0000 0.0000
Se 0.2500 0.2500 0.2500
Si 0.7500 0.7500 0.7500

Calculated values
As for the formation energy from raw total energies: 8.0 kcal/mol of atoms.

---

14.
A plane-wave DFT calculation with PBE was carried out for an optimized crystal structure of K2SiSe.

a = 10.8102 Å, b = 10.8102 Å, c = 10.8102 Å
α = 19.28°, β = 19.28°, γ = 19.28°
Element x y z (fractional)
K 0.9928 0.9928 0.9928
K 0.5072 0.5072 0.5072
Se 0.2500 0.2500 0.2500
Si 0.7500 0.7500 0.7500

Calculated values
As for the formation energy from raw total energies: 3.1 kcal/mol of atoms. The calculation puts the offset from the most stable computed form at 471.2 meV per atom.

---

15.
A plane-wave DFT calculation with PBE was carried out for an optimized crystal structure of KSi4Se.

a = 5.4324 Å, b = 5.4324 Å, c = 5.4324 Å
α = 60.00°, β = 60.00°, γ = 60.00°
Element x y z (fractional)
K 0.7500 0.7500 0.7500
Si 0.8744 0.3752 0.3752
Si 0.3752 0.3752 0.8744
Si 0.3752 0.8744 0.3752
Si 0.3752 0.3752 0.3752
Se 0.0000 0.0000 0.0000

Calculated values
As for the formation energy from raw total energies: 10.2 kcal/mol of atoms.

---

M_tot / μB/atom: 0.00, 0.00, 0.00, 0.00, 0.00, 0.00, 0.00, 0.86, 0.50, 0.00, 0.00, 0.00, 0.00, 0.15, 0.00